# Pm2NiAs4Rh3

A geometry-optimized Pm2NiAs4Rh3 structure (PBE, Alexandria).

Values from the calculation:
N(E_F) = 0.641 states/eV per atom
energy relative to the elements = -8.701 eV per formula unit
crystal system = tetragonal

Unit cell a=4.2895 b=4.2895 c=9.8891 alpha=90.00 beta=90.00 gamma=90.00
Last column: nearest neighbours and their distance in Å.
Atoms (fractional coordinates):
Pm  0.0000  0.5000  0.2481  8 As 3.25-3.29, 2 Ni 3.26, 6 Rh 3.26-3.29
Pm  0.5000  0.0000  0.7519  8 As 3.25-3.29, 2 Ni 3.26, 6 Rh 3.26-3.29
Ni  0.5000  0.5000  0.0000  4 As 2.50
As  0.0000  0.0000  0.5000  4 Rh 2.47
As  0.0000  0.5000  0.8708  3 Rh 2.44-2.50, 2 Ni 2.50
As  0.5000  0.0000  0.1292  3 Rh 2.44-2.50, 2 Ni 2.50
As  0.5000  0.5000  0.5000  4 Rh 2.47
Rh  0.0000  0.0000  0.0000  4 As 2.50
Rh  0.0000  0.5000  0.6236  5 As 2.44-2.47
Rh  0.5000  0.0000  0.3764  5 As 2.44-2.47